12
Lattice="6.9141 0.0000 0.0000 0.0000 6.9141 0.0000 0.0000 0.0000 6.9141" Properties=species:S:1:pos:R:3 comment="TbCdIn PBE-GGA optimized geometry" formation_energy_ev_per_atom=-0.2826 e_tot_ev_per_cell=-36.53 pbc="T T T"
Tb 0.0000 0.0000 0.0000
Tb 0.0000 3.4570 3.4570
Tb 3.4570 0.0000 3.4570
Tb 3.4570 3.4570 0.0000
Cd 1.7285 1.7285 5.1856
Cd 1.7285 5.1856 1.7285
Cd 5.1856 1.7285 1.7285
Cd 5.1856 5.1856 5.1856
In 0.0000 0.0000 3.4570
In 0.0000 3.4570 0.0000
In 3.4570 0.0000 0.0000
In 3.4570 3.4570 3.4570